Density functional theory data (GGA-PBE) for an optimized crystal structure of K7H5Au.

Calculated values
raw total energy = -2.30 eV/atom
N(E_F) = 0.272 states/eV/atom
ρ = 2.3 g/cm3

Geometry as CIF:
```
data_K7H5Au
_symmetry_space_group_name_H-M 'C 1 2/m 1'
_symmetry_Int_Tables_number 12
_cell_length_a 13.4462
_cell_length_b 4.0873
_cell_length_c 25.1788
_cell_angle_alpha 90.00
_cell_angle_beta 90.04
_cell_angle_gamma 90.00
loop_
_symmetry_equiv_pos_as_xyz
'x,y,z'
'-x,-y,-z'
'-x,y,-z'
'x,-y,z'
'x+1/2,y+1/2,z'
'-x+1/2,-y+1/2,-z'
'-x+1/2,y+1/2,-z'
'x+1/2,-y+1/2,z'
loop_
_atom_site_label
_atom_site_fract_x
_atom_site_fract_y
_atom_site_fract_z
K1 0.0196 0.0000 0.2500
K2 0.0895 0.5000 0.1036
K3 0.0890 0.5000 0.3965
K4 0.1352 0.0000 0.5312
K5 0.1349 0.0000 0.9688
K6 0.1753 0.5000 0.6625
K7 0.1749 0.5000 0.8376
H1 0.0000 0.5000 0.0000
H2 0.0000 0.5000 0.5000
H3 0.0432 0.0000 0.6308
H4 0.0429 0.0000 0.8692
H5 0.2266 0.0000 0.0678
H6 0.2266 0.0000 0.4321
Au1 0.2151 0.5000 0.2498
```

Density functional theory data (GGA-PBE) for an optimized crystal structure of K6HAu3.

Calculated values
raw total energy = -2.16 eV/atom
N(E_F) = 0.621 states/eV/atom
ρ = 3.7 g/cm3

Geometry as CIF:
```
data_K6HAu3
_symmetry_space_group_name_H-M 'P 1 21/c 1'
_symmetry_Int_Tables_number 14
_cell_length_a 7.5462
_cell_length_b 8.7960
_cell_length_c 13.1881
_cell_angle_alpha 90.00
_cell_angle_beta 122.47
_cell_angle_gamma 90.00
loop_
_symmetry_equiv_pos_as_xyz
'x,y,z'
'-x,-y,-z'
'-x,y+1/2,-z+1/2'
'x,-y+1/2,z+1/2'
loop_
_atom_site_label
_atom_site_fract_x
_atom_site_fract_y
_atom_site_fract_z
K1 0.0985 0.0423 0.2316
K2 0.2127 0.6936 0.0676
K3 0.3740 0.1661 0.0585
H1 0.0000 0.0000 0.0000
Au1 0.3035 0.1123 0.7562
Au2 0.5000 0.0000 0.5000
```

Density functional theory data (GGA-PBE) for an optimized crystal structure of K5HAu2.

Calculated values
raw total energy = -2.08 eV/atom
N(E_F) = 0.674 states/eV/atom
ρ = 3.0 g/cm3

Geometry as CIF:
```
data_K5HAu2
_symmetry_space_group_name_H-M 'P n m a'
_symmetry_Int_Tables_number 62
_cell_length_a 14.7875
_cell_length_b 5.1292
_cell_length_c 17.4375
_cell_angle_alpha 90.00
_cell_angle_beta 90.00
_cell_angle_gamma 90.00
loop_
_symmetry_equiv_pos_as_xyz
'x,y,z'
'-x,-y,-z'
'-x+1/2,-y,z+1/2'
'x+1/2,y,-z+1/2'
'x+1/2,-y+1/2,-z+1/2'
'-x+1/2,y+1/2,z+1/2'
'-x,y+1/2,-z'
'x,-y+1/2,z'
loop_
_atom_site_label
_atom_site_fract_x
_atom_site_fract_y
_atom_site_fract_z
K1 0.0065 0.2500 0.1417
K2 0.0136 0.7500 0.3928
K3 0.2018 0.2500 0.9695
K4 0.2367 0.2500 0.2870
K5 0.2402 0.7500 0.1289
H1 0.1882 0.2500 0.1353
Au1 0.1149 0.2500 0.7805
Au2 0.1452 0.2500 0.4636
```

Density functional theory data (GGA-PBE) for an optimized crystal structure of KHAu.

Calculated values
raw total energy = -2.47 eV/atom
N(E_F) = 0.422 states/eV/atom
ρ = 6.6 g/cm3

Geometry as CIF:
```
data_KHAu
_symmetry_space_group_name_H-M 'P -6 m 2'
_symmetry_Int_Tables_number 187
_symmetry_space_group_name_Hall 'P -6 2'
_cell_length_a 3.7590
_cell_length_b 3.7590
_cell_length_c 4.8809
_cell_angle_alpha 90.00
_cell_angle_beta 90.00
_cell_angle_gamma 120.00
loop_
_atom_site_label
_atom_site_fract_x
_atom_site_fract_y
_atom_site_fract_z
K1 0.0000 0.0000 0.0000
H1 0.3333 0.6667 0.5000
Au1 0.6667 0.3333 0.5000
```

Density functional theory data (GGA-PBE) for an optimized crystal structure of K3H3Au.

Calculated values
raw total energy = -2.55 eV/atom
N(E_F) = 0.277 states/eV/atom
ρ = 3.0 g/cm3

Geometry as CIF:
```
data_K3H3Au
_symmetry_space_group_name_H-M 'P 63/m'
_symmetry_Int_Tables_number 176
_symmetry_space_group_name_Hall '-P 6c'
_cell_length_a 8.7183
_cell_length_b 8.7183
_cell_length_c 5.4231
_cell_angle_alpha 90.00
_cell_angle_beta 90.00
_cell_angle_gamma 120.00
loop_
_atom_site_label
_atom_site_fract_x
_atom_site_fract_y
_atom_site_fract_z
K1 0.0821 0.7067 0.2500
H1 0.1475 0.6937 0.7500
Au1 0.3333 0.6667 0.7500
```

Density functional theory data (GGA-PBE) for an optimized crystal structure of K2H5Au2.

Calculated values
raw total energy = -2.98 eV/atom
N(E_F) = 0.096 states/eV/atom
ρ = 5.7 g/cm3

Geometry as CIF:
```
data_K2H5Au2
_symmetry_space_group_name_H-M 'C 1 2/m 1'
_symmetry_Int_Tables_number 12
_cell_length_a 12.2555
_cell_length_b 4.0161
_cell_length_c 6.1417
_cell_angle_alpha 90.00
_cell_angle_beta 113.30
_cell_angle_gamma 90.00
loop_
_symmetry_equiv_pos_as_xyz
'x,y,z'
'-x,-y,-z'
'-x,y,-z'
'x,-y,z'
'x+1/2,y+1/2,z'
'-x+1/2,-y+1/2,-z'
'-x+1/2,y+1/2,-z'
'x+1/2,-y+1/2,z'
loop_
_atom_site_label
_atom_site_fract_x
_atom_site_fract_y
_atom_site_fract_z
K1 0.0929 0.0000 0.3612
H1 0.0000 0.5000 0.0000
H2 0.0900 0.5000 0.6808
H3 0.2134 0.5000 0.2687
Au1 0.1499 0.5000 0.9758
```

Density functional theory data (GGA-PBE) for an optimized crystal structure of K3HAu8.

Calculated values
raw total energy = -2.91 eV/atom
N(E_F) = 0.170 states/eV/atom
ρ = 10.3 g/cm3

Geometry as CIF:
```
data_K3HAu8
_symmetry_space_group_name_H-M 'R 3 m'
_symmetry_Int_Tables_number 160
_symmetry_space_group_name_Hall 'R 3 -2"'
_cell_length_a 5.7423
_cell_length_b 5.7423
_cell_length_c 28.6665
_cell_angle_alpha 90.00
_cell_angle_beta 90.00
_cell_angle_gamma 120.00
loop_
_atom_site_label
_atom_site_fract_x
_atom_site_fract_y
_atom_site_fract_z
K1 0.0000 0.0000 0.0000
K2 0.0000 0.0000 0.1315
K3 0.0000 0.0000 0.5127
H1 0.0000 0.0000 0.7031
Au1 0.0000 0.0000 0.3157
Au2 0.0000 0.0000 0.8183
Au3 0.0002 0.5001 0.5686
Au4 0.0074 0.5037 0.0663
```

Density functional theory data (GGA-PBE) for an optimized crystal structure of K3H2Au.

Calculated values
raw total energy = -2.39 eV/atom
N(E_F) = 0.000 states/eV/atom
ρ = 3.2 g/cm3

Geometry as CIF:
```
data_K3H2Au
_symmetry_space_group_name_H-M 'P 1 21/m 1'
_symmetry_Int_Tables_number 11
_cell_length_a 7.6120
_cell_length_b 4.0481
_cell_length_c 11.0181
_cell_angle_alpha 90.00
_cell_angle_beta 102.44
_cell_angle_gamma 90.00
loop_
_symmetry_equiv_pos_as_xyz
'x,y,z'
'-x,-y,-z'
'-x,y+1/2,-z'
'x,-y+1/2,z'
loop_
_atom_site_label
_atom_site_fract_x
_atom_site_fract_y
_atom_site_fract_z
K1 0.1205 0.2500 0.1527
K2 0.1942 0.2500 0.4836
K3 0.3335 0.2500 0.8565
H1 0.0118 0.7500 0.3234
H2 0.2296 0.7500 0.9984
Au1 0.4765 0.7500 0.6633
```

Density functional theory data (GGA-PBE) for an optimized crystal structure of K2H4Au.

Calculated values
raw total energy = -2.82 eV/atom
N(E_F) = 0.223 states/eV/atom
ρ = 3.6 g/cm3

Geometry as CIF:
```
data_K2H4Au
_symmetry_space_group_name_H-M 'P 1 21/m 1'
_symmetry_Int_Tables_number 11
_cell_length_a 4.9460
_cell_length_b 5.7311
_cell_length_c 9.1785
_cell_angle_alpha 90.00
_cell_angle_beta 100.29
_cell_angle_gamma 90.00
loop_
_symmetry_equiv_pos_as_xyz
'x,y,z'
'-x,-y,-z'
'-x,y+1/2,-z'
'x,-y+1/2,z'
loop_
_atom_site_label
_atom_site_fract_x
_atom_site_fract_y
_atom_site_fract_z
K1 0.2111 0.2500 0.1072
K2 0.2494 0.7500 0.5130
H1 0.2632 0.2500 0.5665
H2 0.3006 0.5394 0.7749
H3 0.4188 0.7500 0.0817
Au1 0.3598 0.2500 0.7568
```

Density functional theory data (GGA-PBE) for an optimized crystal structure of K6HAu.

Calculated values
raw total energy = -1.73 eV/atom
N(E_F) = 0.414 states/eV/atom
ρ = 1.7 g/cm3

Geometry as CIF:
```
data_K6HAu
_symmetry_space_group_name_H-M 'C 1 2/m 1'
_symmetry_Int_Tables_number 12
_cell_length_a 7.8842
_cell_length_b 13.6255
_cell_length_c 7.7061
_cell_angle_alpha 90.00
_cell_angle_beta 90.29
_cell_angle_gamma 90.00
loop_
_symmetry_equiv_pos_as_xyz
'x,y,z'
'-x,-y,-z'
'-x,y,-z'
'x,-y,z'
'x+1/2,y+1/2,z'
'-x+1/2,-y+1/2,-z'
'-x+1/2,y+1/2,-z'
'x+1/2,-y+1/2,z'
loop_
_atom_site_label
_atom_site_fract_x
_atom_site_fract_y
_atom_site_fract_z
K1 0.1562 0.1563 0.2275
K2 0.1884 0.5000 0.2249
H1 0.0000 0.0000 0.0000
Au1 0.0000 0.0000 0.5000
```

Density functional theory data (GGA-PBE) for an optimized crystal structure of K3H8Au2.

Calculated values
raw total energy = -2.80 eV/atom
N(E_F) = 0.372 states/eV/atom
ρ = 4.3 g/cm3

Geometry as CIF:
```
data_K3H8Au2
_symmetry_space_group_name_H-M 'R -3 m'
_symmetry_Int_Tables_number 166
_symmetry_space_group_name_Hall '-R 3 2"'
_cell_length_a 5.8042
_cell_length_b 5.8042
_cell_length_c 20.8178
_cell_angle_alpha 90.00
_cell_angle_beta 90.00
_cell_angle_gamma 120.00
loop_
_atom_site_label
_atom_site_fract_x
_atom_site_fract_y
_atom_site_fract_z
K1 0.0000 0.0000 0.0000
K2 0.0000 0.0000 0.2187
H1 0.0000 0.0000 0.3551
H2 0.0101 0.5051 0.7728
Au1 0.0000 0.0000 0.4351
```

Density functional theory data (GGA-PBE) for an optimized crystal structure of KLaH6Au2.

Calculated values
raw total energy = -3.53 eV/atom
ρ = 6.5 g/cm3

Geometry as CIF:
```
data_KLaH6Au2
_symmetry_space_group_name_H-M 'C 1 2/c 1'
_symmetry_Int_Tables_number 15
_cell_length_a 9.0816
_cell_length_b 10.1606
_cell_length_c 7.4723
_cell_angle_alpha 90.00
_cell_angle_beta 120.35
_cell_angle_gamma 90.00
loop_
_symmetry_equiv_pos_as_xyz
'x,y,z'
'-x,-y,-z'
'-x,y,-z+1/2'
'x,-y,z+1/2'
'x+1/2,y+1/2,z'
'-x+1/2,-y+1/2,-z'
'-x+1/2,y+1/2,-z+1/2'
'x+1/2,-y+1/2,z+1/2'
loop_
_atom_site_label
_atom_site_fract_x
_atom_site_fract_y
_atom_site_fract_z
K1 0.0000 0.0839 0.2500
La1 0.0000 0.4024 0.7500
H1 0.0313 0.4009 0.4385
H2 0.2013 0.1928 0.1242
H3 0.2229 0.0149 0.6464
Au1 0.2238 0.3389 0.2332
```